[1]
A relaxed structure of HfTaP3, computed with PBE-GGA.

Cell lengths 4.736, 4.736, 4.736 Å; angles 90.00, 90.00, 90.00 degrees
Fractional coordinates of all 5 atoms:
P 0.000 0.500 0.000
P 0.000 0.000 0.500
P 0.500 0.000 0.000
Hf 0.500 0.500 0.500
Ta 0.000 0.000 0.000

Output
- uncorrected energy (eV/cell) = -36.09
- crystal system = cubic
- energy above the lowest structure with this stoichiometry (meV per atom) = 0
- energy of formation (meV per atom) = 389.4

---

[2]
A relaxed structure of Cu4B, computed with PBE-GGA.

Cell lengths 3.907, 3.907, 3.907 Å; angles 90.00, 90.00, 90.00 degrees
Fractional coordinates of all 5 atoms:
B 0.500 0.500 0.500
Cu 0.000 0.000 0.000
Cu 0.500 0.000 0.500
Cu 0.000 0.500 0.500
Cu 0.500 0.500 0.000

Output
- uncorrected energy (eV/cell) = -21.61
- crystal system = cubic
- energy of formation (meV per atom) = 291.1

---

[3]
A relaxed structure of Ba2MgAs4Pd3, computed with PBE-GGA.

Cell lengths 4.540, 4.540, 10.779 Å; angles 90.00, 90.00, 90.00 degrees
Fractional coordinates of all 10 atoms:
Ba 0.500 0.000 0.241
Ba 0.000 0.500 0.759
Mg 0.500 0.500 0.500
As 0.500 0.500 0.000
As 0.000 0.000 0.000
As 0.500 0.000 0.640
As 0.000 0.500 0.360
Pd 0.000 0.000 0.500
Pd 0.500 0.000 0.886
Pd 0.000 0.500 0.114

Output
- uncorrected energy (eV/cell) = -47.64
- crystal system = tetragonal
- energy of formation (meV per atom) = -802.4